Material: VPbO4
Method: DFT, GGA+U
State: optimized geometry

Calculated values
Magnetization in μB/f.u.: 0.000
VASP energy in eV/f.u.: -39.7

Cell and atoms, written as POSCAR:
```
VPbO4
1.0
8.794 0.000 0.000
0.000 7.150 0.513
0.000 5.753 6.496
O V Pb
16 4 4
Direct
0.937 0.190 0.750 O
0.227 0.332 0.487 O
0.727 0.668 0.013 O
0.563 0.190 0.250 O
0.857 0.160 0.402 O
0.273 0.332 0.987 O
0.643 0.160 0.902 O
0.143 0.840 0.598 O
0.357 0.840 0.098 O
0.899 0.403 0.926 O
0.773 0.668 0.513 O
0.399 0.597 0.574 O
0.101 0.597 0.074 O
0.601 0.403 0.426 O
0.437 0.810 0.750 O
0.063 0.810 0.250 O
0.688 0.356 0.268 V
0.812 0.356 0.768 V
0.188 0.644 0.232 V
0.312 0.644 0.732 V
0.067 0.152 0.222 Pb
0.933 0.848 0.778 Pb
0.567 0.848 0.278 Pb
0.433 0.152 0.722 Pb
```